Tm5In2Si2, optimized geometry, DFT PBE; SG = Cmce, No. 64; crystal system = orthorhombic
1.0
7.819 -3.762 0.000
7.819 3.762 0.000
0.000 0.000 7.540
Tm In Si
10 4 4
direct
0.000 0.000 0.000
0.059 0.694 0.680
0.194 0.559 0.180
0.306 0.941 0.680
0.441 0.806 0.180
0.500 0.500 0.500
0.559 0.194 0.820
0.694 0.059 0.320
0.806 0.441 0.820
0.941 0.306 0.320
0.222 0.222 0.000
0.278 0.278 0.500
0.722 0.722 0.500
0.778 0.778 0.000
0.119 0.881 0.379
0.381 0.619 0.879
0.619 0.381 0.121
0.881 0.119 0.621


Tm6InSi2, optimized geometry, DFT PBE; SG = Immm, No. 71; crystal system = orthorhombic
1.0
-4.691 4.723 5.102
4.691 -4.723 5.102
4.691 4.723 -5.102
Tm In Si
12 2 4
direct
0.039 0.243 0.796
0.185 0.277 0.463
0.185 0.723 0.908
0.320 0.024 0.703
0.320 0.617 0.297
0.447 0.243 0.204
0.553 0.757 0.796
0.680 0.383 0.703
0.680 0.976 0.297
0.815 0.277 0.092
0.815 0.723 0.537
0.961 0.757 0.204
0.000 0.000 0.000
0.500 0.500 0.000
0.117 0.617 0.500
0.365 0.000 0.365
0.635 0.000 0.635
0.883 0.383 0.500


In meV per atom, the energy relative to the elements, uncorrected values for the records above are, in order, -562; -535.